VASP calculation (PBE) on CaTbPt2 after structural relaxation.

Calculated values
Space group ... P4/mmm, No. 123
ρ ... 11.4 Mg/m³
M_tot ... 0.000 μB/f.u.
DOS(E_F) ... 0.5 states/eV per cell
Total DFT energy (no corrections) ... -5.78 eV/atom

a = 3.4930 Å, b = 3.4930 Å, c = 7.0535 Å
α = 90.00°, β = 90.00°, γ = 90.00°
Atoms (fractional coordinates):
Ca: 0.5000 0.5000 0.5000
Tb: 0.5000 0.5000 0.0000
Pt: 0.0000 0.0000 0.7669
Pt: 0.0000 0.0000 0.2331